Entry 1:
# PBE-GGA Bi2SbH, optimized geometry
data_Bi2SbH
_symmetry_space_group_name_H-M 'F m -3 m'
_symmetry_Int_Tables_number 225
_symmetry_space_group_name_Hall '-F 4 2 3'
_cell_length_a 7.390
_cell_length_b 7.390
_cell_length_c 7.390
_cell_angle_alpha 90.00
_cell_angle_beta 90.00
_cell_angle_gamma 90.00
loop_
_atom_site_label
_atom_site_type_symbol
_atom_site_fract_x
_atom_site_fract_y
_atom_site_fract_z
Bi1 Bi 0.250 0.250 0.250
Sb1 Sb 0.000 0.000 0.000
H1 H 0.000 0.000 0.500
# **N(E_F)**: 10.64 states/eV per cell
# **E**: -52.83 eV/cell
# **Spin magnetization**: 0.0 μB/f.u.
# **Energy above the lowest structure with this stoichiometry**: 116 meV/atom

***

Entry 2:
# PBE-GGA Bi2SbH, optimized geometry
data_Bi2SbH
_symmetry_space_group_name_H-M 'I -4 2 d'
_symmetry_Int_Tables_number 122
_symmetry_space_group_name_Hall 'I -4 2bw'
_cell_length_a 6.230
_cell_length_b 6.230
_cell_length_c 11.657
_cell_angle_alpha 90.00
_cell_angle_beta 90.00
_cell_angle_gamma 90.00
loop_
_atom_site_label
_atom_site_type_symbol
_atom_site_fract_x
_atom_site_fract_y
_atom_site_fract_z
Bi1 Bi 0.146 0.250 0.125
Sb1 Sb 0.000 0.000 0.500
H1 H 0.000 0.000 0.000
# **N(E_F)**: 6.47 states/eV per cell
# **E**: -54.68 eV/cell
# **Spin magnetization**: 0.0 μB/f.u.
# **Energy above the lowest structure with this stoichiometry**: 0 meV/atom

***

Entry 3:
# PBE-GGA Sc4BiSbH, optimized geometry
data_Sc4BiSbH
_symmetry_space_group_name_H-M 'C m c m'
_symmetry_Int_Tables_number 63
_symmetry_space_group_name_Hall '-C 2c 2'
_cell_length_a 5.972
_cell_length_b 16.029
_cell_length_c 5.974
_cell_angle_alpha 90.00
_cell_angle_beta 90.00
_cell_angle_gamma 90.00
loop_
_atom_site_label
_atom_site_type_symbol
_atom_site_fract_x
_atom_site_fract_y
_atom_site_fract_z
Sc1 Sc 0.000 0.073 0.250
Sc2 Sc 0.000 0.424 0.250
Sc3 Sc 0.250 0.250 0.000
Bi1 Bi 0.000 0.391 0.750
Sb1 Sb 0.000 0.112 0.750
H1 H 0.000 0.210 0.250
# **N(E_F)**: 26.71 states/eV per cell
# **E**: -165.35 eV/cell
# **Spin magnetization**: 1.2 μB/f.u.

***

Q: The lowest N(E_F) belongs to which entry?
A: number 2